(1)
Pm3DyIr after structural relaxation. Source: Alexandria, functional PBE.

a = 7.439 Å, b = 7.439 Å, c = 7.439 Å
α = 107.21°, β = 112.47°, γ = 108.78°
Positions (direct):
Pm (0.209, 0.054, 0.262)
Pm (0.209, 0.446, 0.655)
Pm (0.261, 0.554, 0.208)
Pm (0.346, 0.054, 0.792)
Pm (0.791, 0.554, 0.345)
Pm (0.791, 0.946, 0.738)
Dy (0.654, 0.950, 0.203)
Dy (0.747, 0.450, 0.797)
Ir (0.136, 0.750, 0.887)
Ir (0.863, 0.250, 0.113)

Summary:
* magnetization: 0.0 μB per formula unit
* crystal system: orthorhombic
* SG: No. 46



(2)
PmDyIr after structural relaxation. Source: Alexandria, functional PBE.

a = 4.154 Å, b = 4.154 Å, c = 6.243 Å
α = 90.00°, β = 90.00°, γ = 120.00°
Positions (direct):
Pm (0.000, 0.000, 0.000)
Dy (0.667, 0.333, 0.542)
Ir (0.333, 0.667, 0.762)

Summary:
* magnetization: 0.0 μB per formula unit
* crystal system: trigonal
* SG: No. 156



(3)
Pm2Dy2Ir3 after structural relaxation. Source: Alexandria, functional PBE.

a = 4.469 Å, b = 5.980 Å, c = 7.489 Å
α = 98.63°, β = 90.07°, γ = 111.92°
Positions (direct):
Pm (0.137, 0.272, 0.355)
Pm (0.863, 0.728, 0.645)
Dy (0.360, 0.721, 0.064)
Dy (0.640, 0.279, 0.936)
Ir (0.000, 0.000, 0.000)
Ir (0.190, 0.381, 0.736)
Ir (0.810, 0.619, 0.264)

Summary:
* magnetization: 0.0 μB per formula unit
* crystal system: triclinic
* SG: No. 2



(4)
PmDy3Ir after structural relaxation. Source: Alexandria, functional PBE.

a = 5.446 Å, b = 5.446 Å, c = 5.446 Å
α = 90.00°, β = 90.00°, γ = 90.00°
Positions (direct):
Pm (0.000, 0.000, 0.000)
Dy (0.000, 0.500, 0.500)
Dy (0.500, 0.000, 0.500)
Dy (0.500, 0.500, 0.000)
Ir (0.500, 0.500, 0.500)

Summary:
* magnetization: 0.0 μB per formula unit
* crystal system: cubic
* SG: No. 221



(5)
Pm2Dy3Ir2 after structural relaxation. Source: Alexandria, functional PBE.

a = 6.420 Å, b = 6.420 Å, c = 9.026 Å
α = 115.40°, β = 115.40°, γ = 34.76°
Positions (direct):
Pm (0.166, 0.166, 0.306)
Pm (0.834, 0.834, 0.694)
Dy (0.380, 0.380, 0.070)
Dy (0.500, 0.500, 0.500)
Dy (0.620, 0.620, 0.930)
Ir (0.174, 0.174, 0.741)
Ir (0.826, 0.826, 0.259)

Summary:
* magnetization: 0.0 μB per formula unit
* crystal system: monoclinic
* SG: No. 12



(6)
Pm3Dy2Ir2 after structural relaxation. Source: Alexandria, functional PBE.

a = 6.421 Å, b = 6.421 Å, c = 8.921 Å
α = 113.96°, β = 113.96°, γ = 35.60°
Positions (direct):
Pm (0.000, 0.000, 0.000)
Pm (0.116, 0.116, 0.428)
Pm (0.884, 0.884, 0.572)
Dy (0.329, 0.329, 0.188)
Dy (0.671, 0.671, 0.812)
Ir (0.316, 0.316, 0.764)
Ir (0.684, 0.684, 0.236)

Summary:
* magnetization: 0.0 μB per formula unit
* crystal system: monoclinic
* SG: No. 12



(7)
PmDy2Ir after structural relaxation. Source: Alexandria, functional PBE.

a = 10.766 Å, b = 10.766 Å, c = 10.766 Å
α = 20.30°, β = 20.30°, γ = 20.30°
Positions (direct):
Pm (0.000, 0.000, 0.000)
Dy (0.115, 0.115, 0.115)
Dy (0.885, 0.885, 0.885)
Ir (0.500, 0.500, 0.500)

Summary:
* magnetization: 0.0 μB per formula unit
* crystal system: trigonal
* SG: No. 166



(8)
PmDyIr2 after structural relaxation. Source: Alexandria, functional PBE.

a = 5.003 Å, b = 3.343 Å, c = 10.026 Å
α = 90.00°, β = 90.00°, γ = 90.00°
Positions (direct):
Pm (0.250, 0.000, 0.127)
Pm (0.750, 0.000, 0.873)
Dy (0.250, 0.000, 0.622)
Dy (0.750, 0.000, 0.378)
Ir (0.250, 0.500, 0.380)
Ir (0.250, 0.500, 0.867)
Ir (0.750, 0.500, 0.133)
Ir (0.750, 0.500, 0.620)

Summary:
* magnetization: 0.0 μB per formula unit
* crystal system: orthorhombic
* SG: No. 51



| no. | energy (eV per atom) |
| --- | --- |
| 1 | -5.892 |
| 2 | -6.595 |
| 3 | -7.076 |
| 4 | -5.764 |
| 5 | -6.455 |
| 6 | -6.432 |
| 7 | -5.872 |
| 8 | -7.468 |